{"formula": "ZrCuAg2", "functional": "PBE", "state": "optimized geometry", "cell": [[-0.902, 0.987, -2.679], [-3.949, -2.726, 0.325], [-2.428, 3.781, 2.211]], "species": ["Zr", "Ag", "Ag", "Cu"], "fractional_positions": [[0.000, 0.500, 0.500], [0.000, 0.000, 0.000], [0.500, 0.500, 0.000], [0.500, 0.000, 0.500]], "density_g_cm3": 8.529, "total_energy_ev_per_atom": -4.46, "m_tot_mub_per_atom": 0.000, "space_group": "Pmmm, No. 47", "e_form_mev_per_atom": 130}



{"formula": "Zr3CuAg", "functional": "PBE", "state": "optimized geometry", "cell": [[-1.140, 1.211, -4.620], [2.860, -3.631, -1.658], [-3.826, -3.075, 0.138]], "species": ["Zr", "Zr", "Zr", "Cu", "Ag"], "fractional_positions": [[0.000, 0.500, 0.000], [0.500, 0.000, 0.000], [0.000, 0.000, 0.500], [0.000, 0.000, 0.000], [0.500, 0.500, 0.500]], "density_g_cm3": 6.243, "total_energy_ev_per_atom": -5.94, "m_tot_mub_per_atom": 0.000, "space_group": "Pm-3m, No. 221", "e_form_mev_per_atom": 582}



{"formula": "Zr4CuAg", "functional": "PBE", "state": "optimized geometry", "cell": [[-4.309, -2.744, -5.657], [3.882, -4.408, -0.819], [-6.655, 1.290, 4.444]], "species": ["Zr", "Zr", "Zr", "Zr", "Zr", "Zr", "Zr", "Zr", "Ag", "Ag", "Cu", "Cu"], "fractional_positions": [[0.371, 0.760, 0.760], [0.250, 0.973, 0.223], [0.750, 0.027, 0.777], [0.750, 0.527, 0.777], [0.871, 0.740, 0.240], [0.129, 0.260, 0.760], [0.629, 0.240, 0.240], [0.250, 0.473, 0.223], [0.500, 0.000, 0.500], [0.000, 0.500, 0.500], [0.000, 0.000, 0.000], [0.500, 0.500, 0.000]], "density_g_cm3": 7.128, "total_energy_ev_per_atom": -6.78, "m_tot_mub_per_atom": 0.000, "space_group": "Pmna, No. 53", "e_form_mev_per_atom": 78}



{"formula": "ZrCuAg", "functional": "PBE", "state": "optimized geometry", "cell": [[-0.336, -2.984, -0.378], [0.178, 1.161, 2.789], [-6.816, 0.752, 0.121]], "species": ["Cu", "Zr", "Ag"], "fractional_positions": [[0.333, 0.667, 0.327], [0.667, 0.333, 0.652], [0.000, 0.000, 0.021]], "density_g_cm3": 8.019, "total_energy_ev_per_atom": -5.05, "m_tot_mub_per_atom": 0.000, "space_group": "P3m1, No. 156", "e_form_mev_per_atom": 118}



{"formula": "ZrCuAg", "functional": "PBE", "state": "optimized geometry", "cell": [[4.568, 0.000, 0.000], [-2.284, 3.956, 0.000], [0.000, 0.000, 2.890]], "species": ["Ag", "Zr", "Cu"], "fractional_positions": [[0.000, 0.000, 0.167], [0.333, 0.667, 0.667], [0.667, 0.333, 0.167]], "density_g_cm3": 8.349, "total_energy_ev_per_atom": -5.24, "m_tot_mub_per_atom": 0.000, "space_group": "P-6m2, No. 187", "e_form_mev_per_atom": -70}



{"formula": "Zr2CuAg", "functional": "PBE", "state": "optimized geometry", "cell": [[3.399, 0.000, 0.000], [0.000, 3.399, 0.000], [0.000, 0.000, 6.606]], "species": ["Cu", "Zr", "Zr", "Ag"], "fractional_positions": [[0.500, 0.500, 0.740], [0.000, 0.000, 0.968], [0.500, 0.500, 0.267], [0.000, 0.000, 0.526]], "density_g_cm3": 7.698, "total_energy_ev_per_atom": -6.12, "m_tot_mub_per_atom": 0.000, "space_group": "P4mm, No. 99", "e_form_mev_per_atom": -107}



{"formula": "ZrCuAg2", "functional": "PBE", "state": "optimized geometry", "cell": [[4.667, 0.000, 0.000], [0.000, 2.835, 0.061], [0.000, 0.789, 5.377]], "species": ["Ag", "Ag", "Zr", "Cu"], "fractional_positions": [[0.000, 0.103, 0.015], [0.000, 0.397, 0.485], [0.500, 0.750, 0.750], [0.500, 0.250, 0.250]], "density_g_cm3": 8.675, "total_energy_ev_per_atom": -4.51, "m_tot_mub_per_atom": 0.000, "space_group": "P2/m, No. 10", "e_form_mev_per_atom": 72}



{"formula": "Zr2CuAg", "functional": "PBE", "state": "optimized geometry", "cell": [[5.093, 0.025, -0.007], [-1.579, 4.842, -0.007], [0.004, 0.006, 3.056]], "species": ["Ag", "Zr", "Zr", "Cu"], "fractional_positions": [[0.500, 0.000, 0.500], [0.000, 0.000, 0.000], [0.500, 0.500, 0.000], [0.000, 0.500, 0.500]], "density_g_cm3": 7.785, "total_energy_ev_per_atom": -6.02, "m_tot_mub_per_atom": 0.000, "space_group": "Cmmm, No. 65", "e_form_mev_per_atom": -4}